Arrangement w

Computed, not measured: a geometry-optimized SrInRe structure at the PBE level of DFT.

Cell and atoms, written as CIF:
```
data_SrInRe
_symmetry_space_group_name_H-M 'I m m 2'
_symmetry_Int_Tables_number 44
_cell_length_a 3.6282
_cell_length_b 3.6905
_cell_length_c 11.2289
_cell_angle_alpha 90.00
_cell_angle_beta 90.00
_cell_angle_gamma 90.00
loop_
_symmetry_equiv_pos_as_xyz
'x,y,z'
'-x,-y,z'
'-x,y,z'
'x,-y,z'
'x+1/2,y+1/2,z+1/2'
'-x+1/2,-y+1/2,z+1/2'
'-x+1/2,y+1/2,z+1/2'
'x+1/2,-y+1/2,z+1/2'
loop_
_atom_site_label
_atom_site_type_symbol
_atom_site_fract_x
_atom_site_fract_y
_atom_site_fract_z
Sr1 Sr 0.0000 0.0000 0.0000
In1 In 0.0000 0.0000 0.7187
Re1 Re 0.0000 0.0000 0.2989
```

## Properties
total magnetization	0.00	Bohr magnetons per cell

Arrangement x

Computed, not measured: a geometry-optimized SrInRe structure at the PBE level of DFT.

Cell and atoms, written as CIF:
```
data_SrInRe
_symmetry_space_group_name_H-M 'P 3 m 1'
_symmetry_Int_Tables_number 156
_cell_length_a 5.1743
_cell_length_b 5.1743
_cell_length_c 2.9367
_cell_angle_alpha 90.00
_cell_angle_beta 90.00
_cell_angle_gamma 120.00
loop_
_symmetry_equiv_pos_as_xyz
'x,y,z'
'-y,x-y,z'
'-x+y,-x,z'
'-y,-x,z'
'-x+y,y,z'
'x,x-y,z'
loop_
_atom_site_label
_atom_site_type_symbol
_atom_site_fract_x
_atom_site_fract_y
_atom_site_fract_z
Sr1 Sr 0.0000 0.0000 0.0000
In1 In 0.3333 0.6667 0.5009
Re1 Re 0.6667 0.3333 0.4991
```

## Properties
total magnetization	0.11	Bohr magnetons per cell

Of them, arrangement w has the highest stability.

Arrangement w

Computed, not measured: a geometry-optimized Ta2InRe2 structure at the PBE level of DFT.

Cell and atoms, written as CIF:
```
data_Ta2InRe2
_symmetry_space_group_name_H-M 'P 4/m b m'
_symmetry_Int_Tables_number 127
_symmetry_space_group_name_Hall '-P 4 2ab'
_cell_length_a 7.8488
_cell_length_b 7.8488
_cell_length_c 3.0091
_cell_angle_alpha 90.00
_cell_angle_beta 90.00
_cell_angle_gamma 90.00
loop_
_atom_site_label
_atom_site_type_symbol
_atom_site_fract_x
_atom_site_fract_y
_atom_site_fract_z
Ta1 Ta 0.1419 0.3581 0.0000
In1 In 0.0000 0.0000 0.0000
Re1 Re 0.1508 0.6508 0.5000
```

## Properties
total magnetization	0.00	Bohr magnetons per cell

Arrangement x

Computed, not measured: a geometry-optimized Ta2InRe2 structure at the PBE level of DFT.

Cell and atoms, written as CIF:
```
data_Ta2InRe2
_symmetry_space_group_name_H-M 'P 4/m b m'
_symmetry_Int_Tables_number 127
_symmetry_space_group_name_Hall '-P 4 2ab'
_cell_length_a 7.7131
_cell_length_b 7.7131
_cell_length_c 3.0840
_cell_angle_alpha 90.00
_cell_angle_beta 90.00
_cell_angle_gamma 90.00
loop_
_atom_site_label
_atom_site_type_symbol
_atom_site_fract_x
_atom_site_fract_y
_atom_site_fract_z
Ta1 Ta 0.1523 0.3477 0.0000
In1 In 0.0000 0.0000 0.5000
Re1 Re 0.1408 0.6408 0.5000
```

## Properties
total magnetization	0.00	Bohr magnetons per cell

Of them, arrangement x has the highest stability.

Arrangement w

Computed, not measured: a geometry-optimized TaIn2Re structure at the PBE level of DFT.

Cell and atoms, written as CIF:
```
data_TaIn2Re
_symmetry_space_group_name_H-M 'P m m m'
_symmetry_Int_Tables_number 47
_cell_length_a 3.3328
_cell_length_b 4.7231
_cell_length_c 4.7506
_cell_angle_alpha 90.00
_cell_angle_beta 90.00
_cell_angle_gamma 90.00
loop_
_symmetry_equiv_pos_as_xyz
'x,y,z'
'-x,-y,-z'
'-x,-y,z'
'x,y,-z'
'x,-y,-z'
'-x,y,z'
'-x,y,-z'
'x,-y,z'
loop_
_atom_site_label
_atom_site_type_symbol
_atom_site_fract_x
_atom_site_fract_y
_atom_site_fract_z
Ta1 Ta 0.0000 0.0000 0.0000
In1 In 0.0000 0.5000 0.5000
In2 In 0.5000 0.5000 0.0000
Re1 Re 0.5000 0.0000 0.5000
```

## Properties
total magnetization	0.00	Bohr magnetons per cell

Arrangement x

Computed, not measured: a geometry-optimized TaIn2Re structure at the PBE level of DFT.

Cell and atoms, written as CIF:
```
data_TaIn2Re
_symmetry_space_group_name_H-M 'I -4 2 d'
_symmetry_Int_Tables_number 122
_symmetry_space_group_name_Hall 'I -4 2bw'
_cell_length_a 7.6768
_cell_length_b 7.6768
_cell_length_c 5.6157
_cell_angle_alpha 90.00
_cell_angle_beta 90.00
_cell_angle_gamma 90.00
loop_
_atom_site_label
_atom_site_type_symbol
_atom_site_fract_x
_atom_site_fract_y
_atom_site_fract_z
Ta1 Ta 0.0000 0.0000 0.0000
In1 In 0.2359 0.7500 0.6250
Re1 Re 0.0000 0.0000 0.5000
```

## Properties
total magnetization	4.39	Bohr magnetons per cell

Of them, arrangement w has the highest stability.

Arrangement w

Computed, not measured: a geometry-optimized TaIn2Re structure at the PBE level of DFT.

Cell and atoms, written as CIF:
```
data_TaIn2Re
_symmetry_space_group_name_H-M 'C 1 m 1'
_symmetry_Int_Tables_number 8
_cell_length_a 10.3170
_cell_length_b 3.2914
_cell_length_c 4.8962
_cell_angle_alpha 90.00
_cell_angle_beta 110.23
_cell_angle_gamma 90.00
loop_
_symmetry_equiv_pos_as_xyz
'x,y,z'
'x,-y,z'
'x+1/2,y+1/2,z'
'x+1/2,-y+1/2,z'
loop_
_atom_site_label
_atom_site_type_symbol
_atom_site_fract_x
_atom_site_fract_y
_atom_site_fract_z
Ta1 Ta 0.0000 0.0000 0.0000
In1 In 0.0438 0.5000 0.5420
In2 In 0.2682 0.5000 0.2464
Re1 Re 0.3012 0.0000 0.7763
```

## Properties
total magnetization	0.00	Bohr magnetons per cell

Arrangement x

Computed, not measured: a geometry-optimized TaIn2Re structure at the PBE level of DFT.

Cell and atoms, written as CIF:
```
data_TaIn2Re
_symmetry_space_group_name_H-M 'I m m 2'
_symmetry_Int_Tables_number 44
_cell_length_a 3.3963
_cell_length_b 4.7777
_cell_length_c 9.5025
_cell_angle_alpha 90.00
_cell_angle_beta 90.00
_cell_angle_gamma 90.00
loop_
_symmetry_equiv_pos_as_xyz
'x,y,z'
'-x,-y,z'
'-x,y,z'
'x,-y,z'
'x+1/2,y+1/2,z+1/2'
'-x+1/2,-y+1/2,z+1/2'
'-x+1/2,y+1/2,z+1/2'
'x+1/2,-y+1/2,z+1/2'
loop_
_atom_site_label
_atom_site_type_symbol
_atom_site_fract_x
_atom_site_fract_y
_atom_site_fract_z
Ta1 Ta 0.0000 0.0000 0.0000
In1 In 0.0000 0.0000 0.5411
In2 In 0.0000 0.5000 0.7670
Re1 Re 0.0000 0.5000 0.2948
```

## Properties
total magnetization	0.00	Bohr magnetons per cell

Arrangement y

Computed, not measured: a geometry-optimized TaIn2Re structure at the PBE level of DFT.

Cell and atoms, written as CIF:
```
data_TaIn2Re
_symmetry_space_group_name_H-M 'F m -3 m'
_symmetry_Int_Tables_number 225
_symmetry_space_group_name_Hall '-F 4 2 3'
_cell_length_a 6.6515
_cell_length_b 6.6515
_cell_length_c 6.6515
_cell_angle_alpha 90.00
_cell_angle_beta 90.00
_cell_angle_gamma 90.00
loop_
_atom_site_label
_atom_site_type_symbol
_atom_site_fract_x
_atom_site_fract_y
_atom_site_fract_z
Ta1 Ta 0.0000 0.0000 0.0000
In1 In 0.2500 0.2500 0.2500
Re1 Re 0.0000 0.0000 0.5000
```

## Properties
total magnetization	0.00	Bohr magnetons per cell

Of them, arrangement w has the highest stability.

Arrangement w

Computed, not measured: a geometry-optimized TaIn2Re structure at the PBE level of DFT.

Cell and atoms, written as CIF:
```
data_TaIn2Re
_symmetry_space_group_name_H-M 'P 4/m m m'
_symmetry_Int_Tables_number 123
_symmetry_space_group_name_Hall '-P 4 2'
_cell_length_a 2.9420
_cell_length_b 2.9420
_cell_length_c 8.6946
_cell_angle_alpha 90.00
_cell_angle_beta 90.00
_cell_angle_gamma 90.00
loop_
_atom_site_label
_atom_site_type_symbol
_atom_site_fract_x
_atom_site_fract_y
_atom_site_fract_z
Ta1 Ta 0.0000 0.0000 0.0000
In1 In 0.5000 0.5000 0.2613
Re1 Re 0.0000 0.0000 0.5000
```

## Properties
total magnetization	1.17	Bohr magnetons per cell

Arrangement x

Computed, not measured: a geometry-optimized TaIn2Re structure at the PBE level of DFT.

Cell and atoms, written as CIF:
```
data_TaIn2Re
_symmetry_space_group_name_H-M 'C m m 2'
_symmetry_Int_Tables_number 35
_cell_length_a 3.3096
_cell_length_b 4.9865
_cell_length_c 9.9385
_cell_angle_alpha 90.00
_cell_angle_beta 90.00
_cell_angle_gamma 90.00
loop_
_symmetry_equiv_pos_as_xyz
'x,y,z'
'-x,-y,z'
'-x,y,z'
'x,-y,z'
'x+1/2,y+1/2,z'
'-x+1/2,-y+1/2,z'
'-x+1/2,y+1/2,z'
'x+1/2,-y+1/2,z'
loop_
_atom_site_label
_atom_site_type_symbol
_atom_site_fract_x
_atom_site_fract_y
_atom_site_fract_z
Ta1 Ta 0.0000 0.0000 0.0000
In1 In 0.0000 0.0000 0.4416
In2 In 0.0000 0.5000 0.7411
Re1 Re 0.0000 0.5000 0.1965
```

## Properties
total magnetization	0.00	Bohr magnetons per cell

Arrangement y

Computed, not measured: a geometry-optimized TaIn2Re structure at the PBE level of DFT.

Cell and atoms, written as CIF:
```
data_TaIn2Re
_symmetry_space_group_name_H-M 'P 4/m m m'
_symmetry_Int_Tables_number 123
_symmetry_space_group_name_Hall '-P 4 2'
_cell_length_a 4.0868
_cell_length_b 4.0868
_cell_length_c 4.4679
_cell_angle_alpha 90.00
_cell_angle_beta 90.00
_cell_angle_gamma 90.00
loop_
_atom_site_label
_atom_site_type_symbol
_atom_site_fract_x
_atom_site_fract_y
_atom_site_fract_z
Ta1 Ta 0.0000 0.0000 0.0000
In1 In 0.0000 0.5000 0.5000
Re1 Re 0.5000 0.5000 0.0000
```

## Properties
total magnetization	0.00	Bohr magnetons per cell

Of them, arrangement x has the highest stability.

Arrangement w

Computed, not measured: a geometry-optimized TaIn2Re structure at the PBE level of DFT.

Cell and atoms, written as CIF:
```
data_TaIn2Re
_symmetry_space_group_name_H-M 'C m m m'
_symmetry_Int_Tables_number 65
_symmetry_space_group_name_Hall '-C 2 2'
_cell_length_a 3.1947
_cell_length_b 4.9555
_cell_length_c 9.5596
_cell_angle_alpha 90.00
_cell_angle_beta 90.00
_cell_angle_gamma 90.00
loop_
_atom_site_label
_atom_site_type_symbol
_atom_site_fract_x
_atom_site_fract_y
_atom_site_fract_z
Ta1 Ta 0.0000 0.0000 0.0000
In1 In 0.0000 0.5000 0.2580
Re1 Re 0.0000 0.0000 0.5000
```

## Properties
total magnetization	0.00	Bohr magnetons per cell

Arrangement x

Computed, not measured: a geometry-optimized TaIn2Re structure at the PBE level of DFT.

Cell and atoms, written as CIF:
```
data_TaIn2Re
_symmetry_space_group_name_H-M 'C 1 2/m 1'
_symmetry_Int_Tables_number 12
_cell_length_a 9.8227
_cell_length_b 3.3124
_cell_length_c 4.7682
_cell_angle_alpha 90.00
_cell_angle_beta 104.33
_cell_angle_gamma 90.00
loop_
_symmetry_equiv_pos_as_xyz
'x,y,z'
'-x,-y,-z'
'-x,y,-z'
'x,-y,z'
'x+1/2,y+1/2,z'
'-x+1/2,-y+1/2,-z'
'-x+1/2,y+1/2,-z'
'x+1/2,-y+1/2,z'
loop_
_atom_site_label
_atom_site_type_symbol
_atom_site_fract_x
_atom_site_fract_y
_atom_site_fract_z
Ta1 Ta 0.0000 0.0000 0.0000
In1 In 0.2429 0.0000 0.7415
Re1 Re 0.0000 0.5000 0.5000
```

## Properties
total magnetization	0.01	Bohr magnetons per cell

Of them, arrangement x has the highest stability.